[1]
Tl4SnSe3 | PBE | relaxed

Properties
Energy relative to the lowest polymorph listed for this composition   36.5 meV per atom
V   29.05 A^3/atom

a = 8.5128 Å, b = 8.5128 Å, c = 12.8286 Å
α = 90.00°, β = 90.00°, γ = 90.00°
Space group I4/mcm (No. 140)
Asymmetric unit:
Tl 0.1484 0.3516 0.1555
Sn 0.0000 0.0000 0.0000
Se 0.0000 0.0000 0.2500
Se 0.1661 0.3339 0.5000

---

[2]
Tl2Sn2Se | PBE | relaxed

Properties
Energy relative to the lowest polymorph listed for this composition   0.0 meV per atom
V   30.06 A^3/atom

a = 7.7761 Å, b = 7.7761 Å, c = 4.9712 Å
α = 90.00°, β = 90.00°, γ = 90.00°
Space group P4/mbm (No. 127)
Asymmetric unit:
Tl 0.1685 0.3315 0.0000
Sn 0.1437 0.6437 0.5000
Se 0.0000 0.0000 0.5000

---

[3]
Tl14Sn2Se9 | PBE | relaxed

Properties
V   37.26 A^3/atom

a = 7.6093 Å, b = 7.6093 Å, c = 18.5760 Å
α = 90.00°, β = 90.00°, γ = 120.00°
Space group P-3 (No. 147)
Asymmetric unit:
Tl 0.0000 0.0000 0.2361
Tl 0.0288 0.3506 0.0918
Tl 0.0300 0.3601 0.5766
Sn 0.3333 0.6667 0.2563
Se 0.0000 0.0000 0.0000
Se 0.0408 0.3469 0.3332
Se 0.3333 0.6667 0.9850

---

[4]
Tl2Sn2Se5 | PBE | relaxed

Properties
Energy relative to the lowest polymorph listed for this composition   0.0 meV per atom
V   31.03 A^3/atom

a = 18.7206 Å, b = 8.0747 Å, c = 7.3900 Å
α = 90.00°, β = 90.00°, γ = 90.00°
Space group Ima2 (No. 46)
Asymmetric unit:
Tl 0.0933 0.0448 0.0000
Sn 0.0000 0.0000 0.5038
Sn 0.2500 0.5988 0.9627
Se 0.0297 0.7469 0.7644
Se 0.1459 0.0811 0.5689
Se 0.2500 0.6020 0.6010

---

[5]
TlSnSe3 | PBE | relaxed

Properties
Energy relative to the lowest polymorph listed for this composition   214.9 meV per atom
V   30.64 A^3/atom

a = 5.3506 Å, b = 5.3506 Å, c = 5.3506 Å
α = 90.00°, β = 90.00°, γ = 90.00°
Space group Pm-3m (No. 221)
Asymmetric unit:
Tl 0.0000 0.0000 0.0000
Sn 0.5000 0.5000 0.5000
Se 0.0000 0.5000 0.5000

---

[6]
Tl4SnSe3 | PBE | relaxed

Properties
Energy relative to the lowest polymorph listed for this composition   0.0 meV per atom
V   31.28 A^3/atom

a = 8.6266 Å, b = 8.6185 Å, c = 26.9233 Å
α = 90.00°, β = 90.47°, γ = 90.00°
Space group P2_1 (No. 4)
Asymmetric unit:
Tl 0.0687 0.2031 0.1733
Tl 0.0758 0.4468 0.4256
Tl 0.0788 0.4605 0.9223
Tl 0.0924 0.1971 0.6716
Tl 0.1074 0.1623 0.3256
Tl 0.1129 0.4995 0.0738
Tl 0.1188 0.1580 0.8234
Tl 0.1383 0.5000 0.5686
Tl 0.2535 0.8166 0.4703
Tl 0.3792 0.4906 0.3276
Tl 0.3807 0.1755 0.0770
Tl 0.3866 0.4838 0.8251
Tl 0.3931 0.4719 0.1800
Tl 0.4003 0.1826 0.9286
Tl 0.4183 0.4547 0.6758
Tl 0.4214 0.1998 0.4243
Sn 0.2340 0.8447 0.2441
Sn 0.2489 0.8193 0.9956
Sn 0.2571 0.8385 0.7439
Sn 0.3523 0.1195 0.5677
Se 0.0480 0.4659 0.2555
Se 0.0572 0.1943 0.0034
Se 0.0676 0.4717 0.7523
Se 0.1036 0.1648 0.5024
Se 0.2541 0.8188 0.3460
Se 0.2548 0.8420 0.6029
Se 0.2702 0.8390 0.0971
Se 0.2780 0.8225 0.8465
Se 0.3852 0.1338 0.2476
Se 0.3913 0.5251 0.9952
Se 0.3981 0.1376 0.7454
Se 0.4321 0.4883 0.4953

---

[7]
Tl2SnSe | PBE | relaxed

Properties
Energy relative to the lowest polymorph listed for this composition   52.2 meV per atom
V   28.33 A^3/atom

a = 7.6817 Å, b = 7.6817 Å, c = 7.6817 Å
α = 90.00°, β = 90.00°, γ = 90.00°
Space group Fm-3m (No. 225)
Asymmetric unit:
Tl 0.2500 0.2500 0.2500
Sn 0.0000 0.0000 0.0000
Se 0.0000 0.0000 0.5000

---

[8]
TmTl3Sn2Se6 | PBE | relaxed

Properties
V   28.94 A^3/atom

a = 7.2180 Å, b = 12.5425 Å, c = 8.0390 Å
α = 90.00°, β = 107.39°, γ = 90.00°
Space group C2/m (No. 12)
Asymmetric unit:
Tm 0.0000 0.0000 0.0000
Tl 0.0000 0.1663 0.5000
Tl 0.0000 0.5000 0.5000
Sn 0.0000 0.3334 0.0000
Se 0.2334 0.1644 0.2062
Se 0.2383 0.5000 0.2040

---

[9]
TmTlSnSe3 | PBE | relaxed

Properties
V   33.23 A^3/atom

a = 4.0967 Å, b = 17.4324 Å, c = 11.1689 Å
α = 90.00°, β = 90.00°, γ = 90.00°
Space group Cmcm (No. 63)
Asymmetric unit:
Tm 0.0000 0.0000 0.0000
Tl 0.0000 0.2992 0.2500
Sn 0.0000 0.3693 0.7500
Se 0.0000 0.0244 0.2500
Se 0.0000 0.3884 0.0162

---

[10]
TmTl2SnSe4 | PBE | relaxed

Properties
V   28.88 A^3/atom

a = 7.3232 Å, b = 4.0960 Å, c = 8.0551 Å
α = 90.00°, β = 107.05°, γ = 90.00°
Space group P2/m (No. 10)
Asymmetric unit:
Tm 0.0000 0.0000 0.0000
Tl 0.0000 0.5000 0.5000
Tl 0.5000 0.0000 0.5000
Sn 0.5000 0.5000 0.0000
Se 0.2302 0.5000 0.2025
Se 0.2585 0.0000 0.7929

---

[11]
UTl3Sn2Se6 | PBE | relaxed

Properties
V   30.43 A^3/atom

a = 7.5049 Å, b = 12.9160 Å, c = 7.9245 Å
α = 90.00°, β = 108.06°, γ = 90.00°
Space group C2/m (No. 12)
Asymmetric unit:
U 0.0000 0.0000 0.0000
Tl 0.0000 0.1695 0.5000
Tl 0.0000 0.5000 0.5000
Sn 0.0000 0.3333 0.0000
Se 0.2219 0.1546 0.2036
Se 0.2373 0.0000 0.7890

---

[12]
UTl2Sn2Se6 | PBE | relaxed

Properties
V   32.49 A^3/atom

a = 7.4526 Å, b = 12.6978 Å, c = 7.9702 Å
α = 90.00°, β = 108.60°, γ = 90.00°
Space group C2/m (No. 12)
Asymmetric unit:
U 0.0000 0.0000 0.0000
Tl 0.0000 0.1697 0.5000
Sn 0.0000 0.3280 0.0000
Se 0.2218 0.1538 0.2013
Se 0.2276 0.0000 0.7946

---

| no. | uncorrected formation energy (eV/f.u.) |
| --- | --- |
| 1 | -2.800 |
| 2 | -0.129 |
| 3 | -8.949 |
| 4 | -2.611 |
| 5 | -0.085 |
| 6 | -3.092 |
| 7 | 0.166 |
| 8 | -8.467 |
| 9 | -5.737 |
| 10 | -6.989 |
| 11 | -8.038 |
| 12 | -7.374 |